# 1
Compound: KCdIn2
Source: Alexandria via LeMat-Bulk
Functional: PBE-GGA
Structure: relaxed

a b c (Å): 3.389 4.610 7.963
angles (deg): 90.00 98.45 90.00
Fractional coordinates of all 4 atoms:
K  0.000  0.000  0.000
Cd  0.000  0.000  0.500
In  0.412  0.500  0.695
In  0.588  0.500  0.305

symmetry = No. 10
N(E_F) = 1.6 states/eV per cell
formation energy = -0.054 eV per atom

# 2
Compound: KCd3In
Source: Alexandria via LeMat-Bulk
Functional: PBE-GGA
Structure: relaxed

a b c (Å): 7.439 7.439 6.362
angles (deg): 90.00 90.00 120.00
Fractional coordinates of all 10 atoms:
K  0.333  0.667  0.250
K  0.667  0.333  0.750
Cd  0.200  0.400  0.750
Cd  0.200  0.800  0.750
Cd  0.400  0.200  0.250
Cd  0.600  0.800  0.750
Cd  0.800  0.200  0.250
Cd  0.800  0.600  0.250
In  0.000  0.000  0.000
In  0.000  0.000  0.500

symmetry = No. 194
energy relative to the lowest polymorph listed for this composition = 6.5 kJ per mole of atoms
N(E_F) = 4.8 states/eV per cell
formation energy = -0.003 eV per atom

# 3
Compound: KCdIn3
Source: Alexandria via LeMat-Bulk
Functional: PBE-GGA
Structure: relaxed

a b c (Å): 7.512 7.512 6.402
angles (deg): 90.00 90.00 120.00
Fractional coordinates of all 10 atoms:
K  0.333  0.667  0.250
K  0.667  0.333  0.750
Cd  0.000  0.000  0.000
Cd  0.000  0.000  0.500
In  0.194  0.389  0.750
In  0.194  0.806  0.750
In  0.389  0.194  0.250
In  0.611  0.806  0.750
In  0.806  0.194  0.250
In  0.806  0.611  0.250

symmetry = No. 194
energy relative to the lowest polymorph listed for this composition = 11.0 kJ per mole of atoms
N(E_F) = 4.0 states/eV per cell
formation energy = 0.004 eV per atom

# 4
Compound: KCd2In
Source: Alexandria via LeMat-Bulk
Functional: PBE-GGA
Structure: relaxed

a b c (Å): 3.843 3.843 29.836
angles (deg): 90.00 90.00 120.00
Fractional coordinates of all 12 atoms:
K  0.000  0.000  0.000
K  0.333  0.667  0.667
K  0.667  0.333  0.333
Cd  0.000  0.000  0.497
Cd  0.000  0.000  0.762
Cd  0.333  0.667  0.163
Cd  0.333  0.667  0.428
Cd  0.667  0.333  0.095
Cd  0.667  0.333  0.830
In  0.000  0.000  0.235
In  0.333  0.667  0.902
In  0.667  0.333  0.568

symmetry = No. 160
N(E_F) = 5.6 states/eV per cell
formation energy = 0.068 eV per atom

# 5
Compound: KCd3In4
Source: Alexandria via LeMat-Bulk
Functional: PBE-GGA
Structure: relaxed

a b c (Å): 4.965 4.965 9.587
angles (deg): 90.00 90.00 90.00
Fractional coordinates of all 8 atoms:
K  0.000  0.000  0.000
Cd  0.000  0.000  0.500
Cd  0.500  0.500  0.147
Cd  0.500  0.500  0.853
In  0.000  0.500  0.324
In  0.000  0.500  0.676
In  0.500  0.000  0.324
In  0.500  0.000  0.676

symmetry = No. 123
N(E_F) = 4.1 states/eV per cell
formation energy = -0.049 eV per atom

# 6
Compound: KCd5In
Source: Alexandria via LeMat-Bulk
Functional: PBE-GGA
Structure: relaxed

a b c (Å): 9.607 6.287 12.237
angles (deg): 90.00 90.00 90.00
Fractional coordinates of all 28 atoms:
K  0.243  0.250  0.062
K  0.257  0.750  0.562
K  0.743  0.250  0.438
K  0.757  0.750  0.938
Cd  0.073  0.013  0.313
Cd  0.073  0.487  0.313
Cd  0.073  0.750  0.093
Cd  0.092  0.250  0.524
Cd  0.181  0.250  0.761
Cd  0.319  0.750  0.261
Cd  0.408  0.750  0.024
Cd  0.427  0.250  0.593
Cd  0.427  0.513  0.813
Cd  0.427  0.987  0.813
Cd  0.573  0.013  0.187
Cd  0.573  0.487  0.187
Cd  0.573  0.750  0.407
Cd  0.592  0.250  0.976
Cd  0.681  0.250  0.739
Cd  0.819  0.750  0.239
Cd  0.908  0.750  0.476
Cd  0.927  0.250  0.907
Cd  0.927  0.513  0.687
Cd  0.927  0.987  0.687
In  0.131  0.750  0.856
In  0.369  0.250  0.356
In  0.631  0.750  0.644
In  0.869  0.250  0.144

symmetry = No. 62
N(E_F) = 7.8 states/eV per cell
formation energy = -0.072 eV per atom